No. 1
Entry from Alexandria via LeMat-Bulk: a relaxed structure of TbEu2Ag (PBE-GGA).

```
4
Lattice="-2.056 2.884 -0.675 -3.383 0.134 1.242 2.016 6.049 10.073" Properties=species:S:1:pos:R:3 pbc="T T T"
Ag -1.711 4.533 5.320
Eu 0.895 4.572 7.178
Tb 0.000 0.000 0.000
Eu -4.318 4.495 3.462
```

Calculated values
The value obtained for the energy above the most stable polymorph in this dataset is 256.4 meV/atom. The density is 7.169 g/cm3. The value obtained for the density of states at the Fermi level is 4.4 states/eV per cell. The value obtained for the energy of formation is 0.189 eV per atom.

No. 2
Entry from Alexandria via LeMat-Bulk: a relaxed structure of KTb2Cl2F5 (PBE-GGA).

```
20
Lattice="-2.291 1.961 1.732 -7.242 -3.552 -5.557 -1.364 -7.268 6.424" Properties=species:S:1:pos:R:3 pbc="T T T"
F -8.133 -3.956 -2.787
F -6.998 -4.673 -0.474
Cl -5.048 -3.570 -2.635
F -4.767 -0.795 -1.912
Cl -3.559 -7.250 3.501
K 0.000 0.000 0.000
Cl -1.656 -3.018 1.226
K -4.303 -5.410 0.433
Tb -5.750 -8.560 2.086
F -4.570 -2.489 0.265
F -2.909 -0.401 0.098
F -3.899 -4.186 3.073
F -1.828 -2.653 4.078
Tb -2.856 -2.260 -1.219
Tb -6.804 -5.778 -2.458
Cl -6.950 -7.802 -0.359
F -7.989 -8.458 2.501
Tb -1.802 -5.042 3.325
F -6.328 -6.370 2.334
F -2.765 -4.903 5.385
```

Calculated values
The value obtained for the uncorrected formation energy is -32.76 eV/f.u. The density is 5.204 g/cm3. The value obtained for the density of states at the Fermi level is 0.0 states/eV per cell.

> Number 2 is which compound?

KTb2Cl2F5